4
Lattice="-2.542 -0.615 4.653 -3.066 -1.553 -4.083 1.179 -2.984 0.250" Properties=species:S:1:pos:R:3 comment="MgAl2Tl | Alexandria via LeMat-Bulk | PBE | relaxed" crystal_system=orthorhombic spacegroup="No. 65" final_energy_ev_per_cell=-10.82 vol_a3_per_atom=21.39 dos_at_fermi_per_ev_atom=0.2593 pbc="T T T"
Al -2.804 -1.084 0.285
Al 0.000 0.000 0.000
Tl -0.944 -2.269 -1.917
Mg -0.682 -1.800 2.451